DFT (PBE) results for crystalline ReBr at its relaxed geometry.

Summary:
Fermi-level density of states (states/eV per cell): 5.256
Final energy (eV per cell): -44.542
Raw formation energy (eV/atom): 1.4927

abc: 5.0697 5.0697 5.4285
angles: 90.00 90.00 90.00
Space group I4_1/amd (No. 141, origin choice 2)
Unique sites:
Re 0.0000 0.2500 0.3750
Br 0.0000 0.2500 0.8750